An optimized crystal structure of BeTlP2, computed with GGA-PBE.

Computed properties:
formation energy from the elements = 0.06 eV per atom

Lattice parameters (Å, degrees): 7.1212 3.4135 6.7664 90.00 96.19 90.00
Space group Cm (No. 8)
Symmetry-distinct sites (fractional):
Be 0.0000 0.0000 0.0000 x2
Tl 0.1948 0.5000 0.4805 x2
P 0.3096 0.0000 0.0774 x2
P 0.4280 0.0000 0.7971 x2

=====

An optimized crystal structure of LaMgMn, computed with GGA-PBE.

Computed properties:
formation energy from the elements = 0.39 eV per atom

Lattice parameters (Å, degrees): 3.3135 3.3135 7.7635 90.00 90.00 120.00
Space group P3m1 (No. 156)
Symmetry-distinct sites (fractional):
La 0.0000 0.0000 0.0000 x1
Mg 0.6667 0.3333 0.3903 x1
Mn 0.3333 0.6667 0.6751 x1

=====

An optimized crystal structure of Tl2SnTe4, computed with GGA-PBE.

Computed properties:
formation energy without anion corrections = -0.77 eV/f.u.

Lattice parameters (Å, degrees): 7.5509 4.1446 8.9890 90.00 104.08 90.00
Space group P2/m (No. 10)
Symmetry-distinct sites (fractional):
Tl 0.1654 0.0000 0.3809 x2
Sn 0.5000 0.5000 0.0000 x1
Te 0.0819 0.5000 0.8811 x2
Te 0.4887 0.0000 0.7577 x2

=====

An optimized crystal structure of Ba2Mg5Pb3, computed with GGA-PBE.

Computed properties:
formation energy from the elements = -0.31 eV per atom

Lattice parameters (Å, degrees): 12.7635 14.0809 6.9362 90.00 90.00 90.00
Space group Ibam (No. 72)
Symmetry-distinct sites (fractional):
Ba 0.2441 0.1236 0.0000 x8
Mg 0.0000 0.2628 0.2500 x8
Mg 0.0000 0.5000 0.2500 x4
Mg 0.1293 0.1298 0.5000 x8
Pb 0.0000 0.0000 0.2500 x4
Pb 0.1424 0.3783 0.0000 x8

=====

An optimized crystal structure of LaPa2Ni9, computed with GGA-PBE.

Computed properties:
formation energy from the elements = -0.38 eV per atom

Lattice parameters (Å, degrees): 4.9583 4.9583 16.4909 90.00 90.00 120.00
Space group P6_3/mmc (No. 194)
Symmetry-distinct sites (fractional):
La 0.3333 0.6667 0.2500 x2
Pa 0.3333 0.6667 0.0398 x4
Ni 0.0000 0.0000 0.0000 x2
Ni 0.0000 0.0000 0.2500 x2
Ni 0.1671 0.3342 0.6237 x12
Ni 0.3333 0.6667 0.7500 x2

=====

An optimized crystal structure of FeAs3, computed with GGA-PBE.

Computed properties:
formation energy from the elements = 0.22 eV per atom

Lattice parameters (Å, degrees): 2.9751 4.1656 11.3138 90.00 90.00 90.00
Space group Immm (No. 71)
Symmetry-distinct sites (fractional):
Fe 0.0000 0.0000 0.0000 x2
As 0.0000 0.0000 0.5000 x2
As 0.0000 0.5000 0.3245 x4

=====

An optimized crystal structure of Nb2HgB, computed with GGA-PBE.

Computed properties:
formation energy from the elements = 0.20 eV per atom

Lattice parameters (Å, degrees): 3.2134 7.8722 5.2276 90.00 90.00 90.00
Space group Imm2 (No. 44)
Symmetry-distinct sites (fractional):
Nb 0.0000 0.1787 0.0000 x4
Hg 0.0000 0.0000 0.5212 x2
B 0.0000 0.5000 0.6576 x2

=====

An optimized crystal structure of La4TlPt2, computed with GGA-PBE.

Computed properties:
formation energy from the elements = -0.74 eV per atom

Lattice parameters (Å, degrees): 7.5108 11.0946 4.9198 90.00 90.00 90.00
Space group Pbam (No. 55)
Symmetry-distinct sites (fractional):
La 0.1246 0.1930 0.0000 x4
La 0.2363 0.9315 0.5000 x4
Tl 0.0000 0.5000 0.0000 x2
Pt 0.1038 0.6838 0.5000 x4

=====

An optimized crystal structure of TmPu3Bi4, computed with GGA-PBE.

Computed properties:
formation energy from the elements = -0.43 eV per atom

Lattice parameters (Å, degrees): 7.8208 9.0125 7.8159 90.00 109.45 90.00
Space group P2/c (No. 13)
Symmetry-distinct sites (fractional):
Tm 0.0000 0.1247 0.2500 x2
Pu 0.0000 0.3746 0.7500 x2
Pu 0.5000 0.1250 0.7500 x2
Pu 0.5000 0.3745 0.2500 x2
Bi 0.2463 0.1227 0.9997 x4
Bi 0.2475 0.3729 0.4981 x4

=====

An optimized crystal structure of TmZnGaPd, computed with GGA-PBE.

Computed properties:
formation energy from the elements = -0.59 eV per atom

Lattice parameters (Å, degrees): 6.5700 6.5700 6.5700 90.00 90.00 90.00
Space group F-43m (No. 216)
Symmetry-distinct sites (fractional):
Tm 0.0000 0.0000 0.0000 x4
Zn 0.2500 0.2500 0.2500 x4
Ga 0.0000 0.0000 0.5000 x4
Pd 0.2500 0.2500 0.7500 x4

=====

An optimized crystal structure of KSbMoI2, computed with GGA-PBE.

Computed properties:
formation energy without anion corrections = 5.90 eV/f.u.

Lattice parameters (Å, degrees): 6.4962 6.4962 6.4441 90.00 90.00 90.00
Space group P4/mmm (No. 123)
Symmetry-distinct sites (fractional):
K 0.0000 0.0000 0.0000 x1
Sb 0.0000 0.0000 0.5000 x1
Mo 0.5000 0.5000 0.5000 x1
I 0.0000 0.5000 0.0000 x2

=====

An optimized crystal structure of ZrBeSb, computed with GGA-PBE.

Computed properties:
formation energy without anion corrections = -0.46 eV/f.u.

Lattice parameters (Å, degrees): 4.1043 4.1043 3.7511 90.00 90.00 120.00
Space group P3m1 (No. 156)
Symmetry-distinct sites (fractional):
Zr 0.0000 0.0000 0.0000 x1
Be 0.6667 0.3333 0.4750 x1
Sb 0.3333 0.6667 0.5032 x1

=====

An optimized crystal structure of TmAlNi, computed with GGA-PBE.

Computed properties:
formation energy from the elements = -0.44 eV per atom

Lattice parameters (Å, degrees): 3.1342 3.1342 10.6988 90.00 90.00 90.00
Space group I4mm (No. 107)
Symmetry-distinct sites (fractional):
Tm 0.0000 0.0000 0.0000 x2
Al 0.0000 0.0000 0.2874 x2
Ni 0.0000 0.0000 0.6740 x2

=====

An optimized crystal structure of NbGaRu, computed with GGA-PBE.

Computed properties:
formation energy from the elements = -0.29 eV per atom

Lattice parameters (Å, degrees): 8.5341 3.9531 5.8505 90.00 107.00 90.00
Space group C2/m (No. 12)
Symmetry-distinct sites (fractional):
Nb 0.1595 0.0000 0.3093 x4
Ga 0.0000 0.5000 0.0000 x2
Ga 0.0000 0.5000 0.5000 x2
Ru 0.1716 0.0000 0.8275 x4

=====

An optimized crystal structure of NaPtS2Cl, computed with GGA-PBE.

Computed properties:
formation energy without anion corrections = 5.38 eV/f.u.

Lattice parameters (Å, degrees): 4.9490 4.9490 4.7315 90.00 90.00 90.00
Space group P4/mmm (No. 123)
Symmetry-distinct sites (fractional):
Na 0.0000 0.0000 0.0000 x1
Pt 0.5000 0.5000 0.5000 x1
S 0.0000 0.5000 0.0000 x2
Cl 0.0000 0.0000 0.5000 x1

=====

An optimized crystal structure of ZrBS3, computed with GGA-PBE.

Computed properties:
formation energy without anion corrections = 2.05 eV/f.u.

Lattice parameters (Å, degrees): 4.9879 4.9879 4.9879 90.00 90.00 90.00
Space group Pm-3m (No. 221)
Symmetry-distinct sites (fractional):
Zr 0.0000 0.0000 0.0000 x1
B 0.5000 0.5000 0.5000 x1
S 0.0000 0.0000 0.5000 x3

=====

An optimized crystal structure of NdGd2Pa, computed with GGA-PBE.

Computed properties:
formation energy from the elements = 0.25 eV per atom

Lattice parameters (Å, degrees): 4.9613 4.9613 4.9723 90.00 90.00 90.00
Space group P4/mmm (No. 123)
Symmetry-distinct sites (fractional):
Nd 0.0000 0.0000 0.0000 x1
Gd 0.0000 0.5000 0.5000 x2
Pa 0.5000 0.5000 0.0000 x1